(1)
Entry from the Alexandria database: Li2YPbO after structural relaxation (PBE).

The structure belongs to space group P4/mmm (No. 123); the cell edges are 4.5358, 4.5358 and 4.4681 Å and the angles 90.00°, 90.00° and 90.00°. The asymmetric unit holds Li at (0.0000, 0.5000, 0.0000), Y at (0.0000, 0.0000, 0.5000), Pb at (0.5000, 0.5000, 0.5000) and O at (0.0000, 0.0000, 0.0000).

The formation energy (no corrections) is -1309 meV per atom. The total energy comes out at -25.50 eV/cell. For the magnetic moment, the calculation gives 0.00 μB/f.u. The density of states at the Fermi level is 1.60 states/eV/f.u. The calculation puts the theoretical density at 5889 kg/m3.

(2)
Entry from the Alexandria database: LiY2PbO after structural relaxation (PBE).

The structure belongs to space group P4/mmm (No. 123); the cell edges are 4.7679, 4.7679 and 4.4321 Å and the angles 90.00°, 90.00° and 90.00°. The asymmetric unit holds Li at (0.0000, 0.0000, 0.0000), Y at (0.0000, 0.5000, 0.5000), Pb at (0.5000, 0.5000, 0.0000) and O at (0.0000, 0.0000, 0.5000).

The formation energy (no corrections) is -1452 meV per atom. The total energy comes out at -30.77 eV/cell. For the magnetic moment, the calculation gives 0.00 μB/f.u. The density of states at the Fermi level is 1.98 states/eV/f.u. The calculation puts the theoretical density at 6724 kg/m3.

(3)
Entry from the Alexandria database: Li2ZnPbO4 after structural relaxation (PBE).

The structure belongs to space group I-42m (No. 121); the cell edges are 4.7459, 4.7459 and 9.1358 Å and the angles 90.00°, 90.00° and 90.00°. The asymmetric unit holds Li at (0.0000, 0.5000, 0.2500), Zn at (0.0000, 0.0000, 0.0000), Pb at (0.0000, 0.0000, 0.5000) and O at (0.2401, 0.2401, 0.1297).

The formation energy (no corrections) is -1430 meV per atom. The total energy comes out at -80.16 eV/cell. For the magnetic moment, the calculation gives 0.00 μB/f.u. The calculation puts the theoretical density at 5657 kg/m3.

(4)
Entry from the Alexandria database: LiZnPbO4 after structural relaxation (PBE).

The structure belongs to space group Imma (No. 74); the cell edges are 5.9566, 6.7027 and 8.7723 Å and the angles 90.00°, 90.00° and 90.00°. The asymmetric unit holds Li at (0.2500, 0.2500, 0.2500), Zn at (0.0000, 0.2500, 0.6334), Pb at (0.0000, 0.0000, 0.0000), O at (0.0000, 0.0030, 0.2493) and O at (0.2429, 0.2500, 0.0115).

The formation energy (no corrections) is -1067 meV per atom. The total energy comes out at -136.78 eV/cell. For the magnetic moment, the calculation gives 1.04 μB/f.u. The density of states at the Fermi level is 3.41 states/eV/f.u. The calculation puts the theoretical density at 6515 kg/m3.

(5)
Entry from the Alexandria database: Li2Zr3PbO8 after structural relaxation (PBE).

The structure belongs to space group R3m (No. 160, hexagonal axes); the cell edges are 6.5161, 6.5161 and 17.5937 Å and the angles 90.00°, 90.00° and 120.00°. The asymmetric unit holds Li at (0.0000, 0.0000, 0.0000), Li at (0.0000, 0.0000, 0.4501), Zr at (0.1696, 0.3391, 0.8609), Pb at (0.0000, 0.0000, 0.6539), O at (0.0000, 0.0000, 0.2565), O at (0.0000, 0.0000, 0.8025), O at (0.0151, 0.5076, 0.8031) and O at (0.1883, 0.3766, 0.5972).

The formation energy (no corrections) is -2651 meV per atom. The total energy comes out at -329.87 eV/cell. For the magnetic moment, the calculation gives 0.00 μB/f.u. The density of states at the Fermi level is 0.00 states/eV/f.u. The calculation puts the theoretical density at 4795 kg/m3.

(6)
Entry from the Alexandria database: LiZr2PbO after structural relaxation (PBE).

The structure belongs to space group P4/mmm (No. 123); the cell edges are 4.5243, 4.5243 and 4.2603 Å and the angles 90.00°, 90.00° and 90.00°. The asymmetric unit holds Li at (0.0000, 0.0000, 0.0000), Zr at (0.0000, 0.5000, 0.5000), Pb at (0.5000, 0.5000, 0.0000) and O at (0.0000, 0.0000, 0.5000).

The formation energy (no corrections) is -1107 meV per atom. The total energy comes out at -33.21 eV/cell. For the magnetic moment, the calculation gives 0.00 μB/f.u. The density of states at the Fermi level is 3.17 states/eV/f.u. The calculation puts the theoretical density at 7857 kg/m3.

(7)
Entry from the Alexandria database: Li2ZrPbO after structural relaxation (PBE).

The structure belongs to space group P4/mmm (No. 123); the cell edges are 4.2546, 4.2546 and 4.3767 Å and the angles 90.00°, 90.00° and 90.00°. The asymmetric unit holds Li at (0.0000, 0.5000, 0.0000), Zr at (0.0000, 0.0000, 0.5000), Pb at (0.5000, 0.5000, 0.5000) and O at (0.0000, 0.0000, 0.0000).

The formation energy (no corrections) is -1237 meV per atom. The total energy comes out at -27.23 eV/cell. For the magnetic moment, the calculation gives 0.00 μB/f.u. The density of states at the Fermi level is 0.28 states/eV/f.u. The calculation puts the theoretical density at 6881 kg/m3.

(8)
Entry from the Alexandria database: LiPdO2 after structural relaxation (PBE).

The structure belongs to space group R3m (No. 160, hexagonal axes); the cell edges are 3.1211, 3.1211 and 15.3637 Å and the angles 90.00°, 90.00° and 120.00°. The asymmetric unit holds Li at (0.0000, 0.0000, 0.0000), Pd at (0.0000, 0.0000, 0.8244), O at (0.0000, 0.0000, 0.2319) and O at (0.0000, 0.0000, 0.4135).

The formation energy (no corrections) is -816 meV per atom. The total energy comes out at -60.86 eV/cell. For the magnetic moment, the calculation gives 0.81 μB/f.u. The density of states at the Fermi level is 2.81 states/eV/f.u. The calculation puts the theoretical density at 5587 kg/m3.